This record from Alexandria describes an optimized crystal structure of Tm2Ga3GePt4. The functional is PBE.

Values from the calculation:
Space-group type: P-4m2 (115)
Total magnetization, μB per formula unit: 0.000
ΔH_f (0 K), eV/atom: -0.910

Cell lengths 4.0849, 4.0849, 11.0275 Å; angles 90.00, 90.00, 90.00 degrees
Sites, in units of the cell vectors:
Tm (0.0000, 0.5000, 0.2474)
Tm (0.5000, 0.0000, 0.7526)
Ga (0.0000, 0.0000, 0.0000)
Ga (0.0000, 0.5000, 0.6359)
Ga (0.5000, 0.0000, 0.3641)
Ge (0.5000, 0.5000, 0.0000)
Pt (0.0000, 0.0000, 0.5000)
Pt (0.0000, 0.5000, 0.8574)
Pt (0.5000, 0.0000, 0.1426)
Pt (0.5000, 0.5000, 0.5000)

=====

This record from Alexandria describes an optimized crystal structure of U2GaGe3Pt4. The functional is PBE.

Values from the calculation:
Space-group type: P-4m2 (115)
Total magnetization, μB per formula unit: 4.990
ΔH_f (0 K), eV/atom: -0.575

Cell lengths 4.1762, 4.1762, 10.7010 Å; angles 90.00, 90.00, 90.00 degrees
Sites, in units of the cell vectors:
U (0.0000, 0.5000, 0.2472)
U (0.5000, 0.0000, 0.7528)
Ga (0.0000, 0.0000, 0.5000)
Ge (0.0000, 0.5000, 0.8636)
Ge (0.5000, 0.0000, 0.1364)
Ge (0.5000, 0.5000, 0.5000)
Pt (0.0000, 0.0000, 0.0000)
Pt (0.0000, 0.5000, 0.6364)
Pt (0.5000, 0.0000, 0.3636)
Pt (0.5000, 0.5000, 0.0000)

=====

This record from Alexandria describes an optimized crystal structure of Y2GaGe3Pt4. The functional is PBE.

Values from the calculation:
Space-group type: P-4m2 (115)
Total magnetization, μB per formula unit: 0.000
ΔH_f (0 K), eV/atom: -0.919

Cell lengths 4.2864, 4.2864, 10.2311 Å; angles 90.00, 90.00, 90.00 degrees
Sites, in units of the cell vectors:
Y (0.0000, 0.5000, 0.2478)
Y (0.5000, 0.0000, 0.7522)
Ga (0.5000, 0.5000, 0.0000)
Ge (0.0000, 0.0000, 0.0000)
Ge (0.0000, 0.5000, 0.6318)
Ge (0.5000, 0.0000, 0.3682)
Pt (0.0000, 0.0000, 0.5000)
Pt (0.0000, 0.5000, 0.8684)
Pt (0.5000, 0.0000, 0.1316)
Pt (0.5000, 0.5000, 0.5000)